No. 1
FeOs2Br (PBE, relaxed); energy above the lowest structure with this stoichiometry = 20.225 kcal/mol of atoms; magnetization = 0.00 μB per cell; E_form (uncorrected) = 1551 meV/atom; symmetry = I-42d; N(E_F) = 9.61 states/eV/cell
1.0
5.721 0.000 0.000
0.000 5.721 0.000
2.861 2.861 4.890
Fe Br Os
2 2 4
direct
0.250 0.750 0.500 Fe
0.500 0.500 0.000 Fe
0.750 0.250 0.500 Br
0.000 0.000 0.000 Br
0.586 0.125 0.250 Os
0.875 0.836 0.750 Os
0.164 0.625 0.250 Os
0.375 0.414 0.750 Os



No. 2
Sm4YCd2 (PBE, relaxed); energy = -0.2696 Ry per atom; magnetization = 0.75 μB per cell; symmetry = R-3m; N(E_F) = 14.00 states/eV/cell
1.0
5.224 0.000 0.000
2.612 4.524 0.000
2.612 1.508 10.241
Cd Sm Y
2 4 1
direct
0.600 0.600 0.200 Cd
0.400 0.400 0.800 Cd
0.108 0.108 0.677 Sm
0.892 0.892 0.323 Sm
0.296 0.296 0.112 Sm
0.704 0.704 0.888 Sm
0.500 0.500 0.500 Y



No. 3
Cd2HCl (PBE, relaxed); energy = -0.1347 Ry per atom; magnetization = 0.00 μB per cell; symmetry = I-42d; N(E_F) = 1.20 states/eV/cell
1.0
-3.777 2.534 2.369
-1.890 -4.440 1.736
1.003 -0.418 7.597
Cd Cl H
4 2 2
direct
0.495 0.125 0.250 Cd
0.255 0.625 0.250 Cd
0.375 0.505 0.750 Cd
0.875 0.745 0.750 Cd
0.750 0.250 0.500 Cl
0.000 0.000 0.000 Cl
0.500 0.500 0.000 H
0.250 0.750 0.500 H



No. 4
Ac2NiPt (PBE, relaxed); energy = -0.4095 Ry per atom; magnetization = 0.00 μB per cell; symmetry = P4/mmm; N(E_F) = 3.52 states/eV/cell
1.0
3.762 0.000 0.000
0.000 5.285 0.000
0.000 0.000 5.285
Ac Pt Ni
2 1 1
direct
0.000 0.000 0.500 Ac
0.000 0.500 0.000 Ac
0.500 0.500 0.500 Pt
0.500 0.000 0.000 Ni



No. 5
NaUAgO5 (PBE, relaxed); magnetization = 0.00 μB per cell; E_form (uncorrected) = -1796 meV/atom; symmetry = C2/c; N(E_F) = 0.18 states/eV/cell
1.0
5.865 -0.270 0.070
-1.971 5.531 0.070
-1.459 -1.970 7.643
Ag O Na U
2 10 2 2
direct
0.349 0.651 0.750 Ag
0.651 0.349 0.250 Ag
0.672 0.675 0.411 O
0.675 0.672 0.911 O
0.180 0.780 0.561 O
0.220 0.820 0.939 O
0.078 0.922 0.250 O
0.325 0.328 0.089 O
0.328 0.325 0.589 O
0.820 0.220 0.439 O
0.780 0.180 0.061 O
0.922 0.078 0.750 O
0.314 0.686 0.250 Na
0.686 0.314 0.750 Na
0.000 0.000 0.500 U
0.000 0.000 0.000 U



No. 6
Li3U3FeSe8 (PBE, relaxed); magnetization = 10.33 μB per cell; E_form (uncorrected) = -1011 meV/atom; symmetry = R-3m; N(E_F) = 18.07 states/eV/cell
1.0
-1.340 3.722 -6.852
5.390 -5.779 0.375
-7.779 -1.802 0.543
Se U Fe Li
8 3 1 3
direct
0.239 0.479 0.742 Se
0.245 0.491 0.236 Se
0.763 0.003 0.742 Se
0.761 0.997 0.258 Se
0.237 0.997 0.258 Se
0.761 0.521 0.258 Se
0.239 0.003 0.742 Se
0.755 0.509 0.764 Se
0.500 0.000 0.500 U
0.500 0.500 0.500 U
0.000 0.500 0.500 U
0.000 0.000 0.500 Fe
0.500 0.500 0.000 Li
0.000 0.000 0.000 Li
0.000 0.500 0.000 Li